Computed, not measured: YZrTl after structural relaxation at the GGA-PBEsol level of DFT. Values from VASP.

Summary:
total magnetization: 2.07 μB/f.u.
ΔE to the lowest computed polymorph: 2.753 eV per formula unit
formation enthalpy at 0 K: 0.756 eV per atom
space-group type: No. 216

Cell and atoms, written as Quantum ESPRESSO input:
```
&SYSTEM
  ibrav = 0, nat = 3, ntyp = 3
/
ATOMIC_SPECIES
Tl 204.38 Tl.upf
Y 88.91 Y.upf
Zr 91.22 Zr.upf
ATOMIC_POSITIONS crystal
Tl 0.500 0.500 0.500
Y 0.750 0.750 0.750
Zr 0.000 0.000 0.000
CELL_PARAMETERS angstrom
-2.895 1.784 -3.628
-0.087 -2.239 -4.439
-4.036 -2.528 -1.430
```

=====

Computed, not measured: YZrTl after structural relaxation at the GGA-PBEsol level of DFT. Values from VASP.

Summary:
total magnetization: 0.00 μB/f.u.
ΔE to the lowest computed polymorph: 0.000 eV per formula unit
formation enthalpy at 0 K: -0.162 eV per atom
space-group type: No. 107

Cell and atoms, written as Quantum ESPRESSO input:
```
&SYSTEM
  ibrav = 0, nat = 3, ntyp = 3
/
ATOMIC_SPECIES
Tl 204.38 Tl.upf
Y 88.91 Y.upf
Zr 91.22 Zr.upf
ATOMIC_POSITIONS crystal
Tl 0.994 0.994 0.988
Y 0.665 0.665 0.330
Zr 0.341 0.341 0.682
CELL_PARAMETERS angstrom
-3.120 0.458 -1.373
0.381 -2.888 -1.829
-1.190 -2.107 6.312
```